Entry 1:
{
  "formula": "CaBr2Cl",
  "functional": "GGA-PBE",
  "state": "relaxed",
  "polymorph_energy_mev_per_atom": 11,
  "raw_formation_energy_ev_per_atom": -1.6191,
  "lattice_angstrom": [[-0.734, 5.615, 5.831], [-0.593, -2.976, 2.791], [17.318, -1.651, 1.921]],
  "species": ["Br", "Cl", "Br", "Cl", "Br", "Cl", "Br", "Cl", "Br", "Br", "Ca", "Ca", "Br", "Ca", "Br", "Ca"],
  "frac_coords": [[0.697, 0.500, 0.658], [0.495, 0.000, 0.355], [0.438, 0.500, 0.552], [0.900, 0.500, 0.332], [0.697, 0.000, 0.158], [0.900, 0.000, 0.832], [0.438, 0.000, 0.052], [0.495, 0.500, 0.855], [0.185, 0.500, 0.463], [0.233, 0.500, 0.218], [0.584, 0.500, 0.264], [0.148, 0.000, 0.328], [0.233, 0.000, 0.718], [0.148, 0.500, 0.828], [0.185, 0.000, 0.963], [0.584, 0.000, 0.764]]
}

---

Entry 2:
{
  "formula": "Ca2BrCl",
  "functional": "GGA-PBE",
  "state": "relaxed",
  "polymorph_energy_mev_per_atom": 202,
  "raw_formation_energy_ev_per_atom": -1.3185,
  "lattice_angstrom": [[3.752, 0.000, 0.000], [0.000, 7.367, 0.000], [0.000, 0.000, 4.564]],
  "species": ["Ca", "Ca", "Br", "Cl"],
  "frac_coords": [[0.500, 0.500, 0.000], [0.000, 0.000, 0.000], [0.000, 0.500, 0.500], [0.500, 0.000, 0.500]]
}

---

Entry 3:
{
  "formula": "Ca2BrCl",
  "functional": "GGA-PBE",
  "state": "relaxed",
  "polymorph_energy_mev_per_atom": 47,
  "raw_formation_energy_ev_per_atom": -1.4736,
  "lattice_angstrom": [[10.262, 1.844, -0.424], [8.107, 6.557, 0.424], [-9.004, -4.596, 2.590]],
  "species": ["Br", "Ca", "Cl", "Ca"],
  "frac_coords": [[0.221, 0.721, 0.500], [0.796, 0.296, 0.500], [0.522, 0.522, 0.000], [0.961, 0.961, 0.000]]
}

---

Entry 4:
{
  "formula": "CaBr4Cl",
  "functional": "GGA-PBE",
  "state": "relaxed",
  "raw_formation_energy_ev_per_atom": -0.3642,
  "lattice_angstrom": [[0.000, 4.368, 4.368], [4.368, 0.000, 4.368], [4.368, 4.368, 0.000]],
  "species": ["Cl", "Ca", "Br", "Br", "Br", "Br"],
  "frac_coords": [[0.000, 0.000, 0.000], [0.750, 0.750, 0.750], [0.375, 0.375, 0.875], [0.375, 0.375, 0.375], [0.375, 0.875, 0.375], [0.875, 0.375, 0.375]]
}